(1)
K3PmNp2O9 | PBE | optimized geometry

Computed properties:
ΔE_f (raw)   -2695 meV/atom
Raw total energy   -0.2915 hartree per atom

abc: 6.1389 6.1389 7.5266
angles: 90.00 90.00 120.00
Last column: nearest neighbours and their distance in Å.
Space group P-3m1 (No. 164)
Unique sites:
K  0.0000  0.0000  0.0000 [1 per cell]  12 O 3.04-3.07
K  0.3333  0.6667  0.6646 [2 per cell]  12 O 3.07-3.09
Pm  0.0000  0.0000  0.5000 [1 per cell]  6 O 2.34
Np  0.3333  0.6667  0.1628 [2 per cell]  6 O 2.02-2.15
O  0.0000  0.5000  0.0000 [3 per cell]  2 Np 2.15
O  0.1776  0.3552  0.3173 [6 per cell]  1 Np 2.02

---

(2)
Li5TlPb | PBE | optimized geometry

Computed properties:
Formation energy   -117.1 kJ/mol of formula units
Raw total energy   -0.0885 hartree per atom

abc: 4.9210 4.9210 6.1184
angles: 90.00 90.00 90.00
Last column: nearest neighbours and their distance in Å.
Space group P4/mmm (No. 123)
Unique sites:
Li  0.0000  0.0000  0.0000 [1 per cell]  8 Li 2.95, 2 Pb 3.06
Li  0.0000  0.5000  0.2661 [4 per cell]  2 Pb 2.85, 3 Li 2.86-2.95, 2 Tl 2.95
Tl  0.5000  0.5000  0.0000 [1 per cell]  8 Li 2.95
Pb  0.0000  0.0000  0.5000 [1 per cell]  10 Li 2.85-3.06

---

(3)
HfP2Cl | PBE | optimized geometry

Computed properties:
ΔE_f (raw)   -253 meV/atom
Polymorph energy (0 for the lowest one)   0 meV per atom
Raw total energy   -0.2171 hartree per atom

abc: 3.8718 3.8718 19.7724
angles: 90.00 90.00 90.00
Last column: nearest neighbours and their distance in Å.
Space group I-42d (No. 122)
Unique sites:
Hf  0.0000  0.0000  0.0000 [4 per cell]  4 P 2.72, 4 Cl 2.74
P  0.1522  0.2500  0.1250 [8 per cell]  2 P 2.27
Cl  0.0000  0.0000  0.5000 [4 per cell]  4 Hf 2.74, 4 P 2.98

---

(4)
KTlClF2 | PBE | optimized geometry

Computed properties:
ΔE_f (raw)   -1824 meV/atom
Raw total energy   -0.1336 hartree per atom

abc: 4.6988 4.6988 5.6523
angles: 90.00 90.00 90.00
Last column: nearest neighbours and their distance in Å.
Space group P4/mmm (No. 123)
Unique sites:
K  0.0000  0.0000  0.0000 [1 per cell]  4 Cl 3.32, 8 F 3.68
Tl  0.5000  0.5000  0.5000 [1 per cell]  4 F 2.35
Cl  0.5000  0.5000  0.0000 [1 per cell]  2 Tl 2.83
F  0.0000  0.5000  0.5000 [2 per cell]  2 Tl 2.35

---

(5)
Er3Ge13Ir4 | PBE | optimized geometry

Computed properties:
Formation energy   -974.7 kJ/mol of formula units
Raw total energy   -0.2191 hartree per atom

abc: 9.0206 9.0206 9.0206
angles: 90.00 90.00 90.00
Last column: nearest neighbours and their distance in Å.
Space group Pm-3n (No. 223)
Unique sites:
Er  0.0000  0.2500  0.5000 [6 per cell]  12 Ge 3.12-3.25, 4 Ir 3.19
Ge  0.0000  0.0000  0.0000 [2 per cell]  12 Ge 3.08
Ge  0.0000  0.3089  0.1448 [24 per cell]  2 Ir 2.50, 1 Ge 2.61
Ir  0.2500  0.2500  0.2500 [8 per cell]  6 Ge 2.50

---

(6)
CsCaMnCl5 | PBE | optimized geometry

Computed properties:
ΔE_f (raw)   -1828 meV/atom
Raw total energy   -0.1648 hartree per atom

abc: 9.3032 12.5693 10.0664
angles: 90.00 113.16 90.00
Last column: nearest neighbours and their distance in Å.
Space group C2/c (No. 15)
Unique sites:
Cs  0.0000  0.1614  0.2500 [4 per cell]  7 Cl 3.39-3.76
Ca  0.0000  0.5000  0.0000 [4 per cell]  6 Cl 2.66-2.85
Mn  0.0000  0.1874  0.7500 [4 per cell]  4 Cl 2.37-2.38
Cl  0.0000  0.4311  0.2500 [4 per cell]  2 Ca 2.66
Cl  0.0964  0.2944  0.6089 [8 per cell]  1 Mn 2.37
Cl  0.1874  0.0739  0.9195 [8 per cell]  1 Mn 2.38

---

(7)
Rb2NaSrHf | PBE | optimized geometry

Computed properties:
Formation energy   553.9 kJ/mol of formula units
Raw total energy   -0.0672 hartree per atom

abc: 6.9414 6.9414 6.4190
angles: 90.00 90.00 90.00
Last column: nearest neighbours and their distance in Å.
Space group P4/mmm (No. 123)
Unique sites:
Rb  0.0000  0.5000  0.0000 [2 per cell]  2 Hf 3.47
Na  0.0000  0.0000  0.5000 [1 per cell]  2 Hf 3.21
Sr  0.5000  0.5000  0.5000 [1 per cell]  8 Rb 4.73, 4 Na 4.91
Hf  0.0000  0.0000  0.0000 [1 per cell]  2 Na 3.21, 4 Rb 3.47

---

(8)
BeAlF3 | PBE | optimized geometry

Computed properties:
ΔE_f (raw)   -2040 meV/atom
Polymorph energy (0 for the lowest one)   0 meV per atom
Raw total energy   -0.1711 hartree per atom

abc: 3.7631 3.7631 3.7631
angles: 90.00 90.00 90.00
Last column: nearest neighbours and their distance in Å.
Space group Pm-3m (No. 221)
Unique sites:
Be  0.0000  0.0000  0.0000 [1 per cell]  6 F 1.88
Al  0.5000  0.5000  0.5000 [1 per cell]  12 F 2.66
F  0.0000  0.0000  0.5000 [3 per cell]  2 Be 1.88

---

(9)
LiMn3Se | PBE | optimized geometry

Computed properties:
ΔE_f (raw)   834 meV/atom
Polymorph energy (0 for the lowest one)   339 meV per atom
Raw total energy   -0.2112 hartree per atom

abc: 4.3868 4.3868 4.3868
angles: 90.00 90.00 90.00
Last column: nearest neighbours and their distance in Å.
Space group Pm-3m (No. 221)
Unique sites:
Li  0.0000  0.0000  0.0000 [1 per cell]  6 Mn 2.19
Mn  0.0000  0.0000  0.5000 [3 per cell]  2 Li 2.19
Se  0.5000  0.5000  0.5000 [1 per cell]  12 Mn 3.10

---

(10)
AlOs3W | PBE | optimized geometry

Computed properties:
Formation energy   754.9 kJ/mol of formula units
Polymorph energy (0 for the lowest one)   0 meV per atom
Raw total energy   -0.3128 hartree per atom

abc: 4.3419 4.3419 4.3419
angles: 90.00 90.00 90.00
Last column: nearest neighbours and their distance in Å.
Space group Pm-3m (No. 221)
Unique sites:
Al  0.0000  0.0000  0.0000 [1 per cell]  6 Os 2.17
Os  0.0000  0.0000  0.5000 [3 per cell]  2 Al 2.17
W  0.5000  0.5000  0.5000 [1 per cell]  12 Os 3.07

---

(11)
MnHgRu2 | PBE | optimized geometry

Computed properties:
Formation energy   139.5 kJ/mol of formula units
Raw total energy   -0.2442 hartree per atom

abc: 9.1767 2.8423 4.8561
angles: 90.00 103.34 90.00
Last column: nearest neighbours and their distance in Å.
Space group C2/m (No. 12)
Unique sites:
Mn  0.0000  0.0000  0.0000 [2 per cell]  4 Ru 2.56, 4 Hg 2.81, 2 Mn 2.84
Hg  0.0000  0.5000  0.5000 [2 per cell]  6 Ru 2.78-2.91, 4 Mn 2.81, 2 Hg 2.84
Ru  0.2307  0.5000  0.2159 [4 per cell]  2 Mn 2.56, 4 Ru 2.62-2.84, 1 Hg 2.78

---

(12)
CuBrF | PBE | optimized geometry

Computed properties:
ΔE_f (raw)   -792 meV/atom
Polymorph energy (0 for the lowest one)   30 meV per atom
Raw total energy   -0.1227 hartree per atom

abc: 11.2838 3.1452 7.7862
angles: 90.00 90.00 90.00
Last column: nearest neighbours and their distance in Å.
Space group Amm2 (No. 38)
Unique sites:
Cu  0.0000  0.0000  0.0000 [2 per cell]  4 F 1.98
Cu  0.5000  0.0000  0.2810 [2 per cell]  4 Br 2.36
Br  0.3440  0.0000  0.7809 [4 per cell]  2 Cu 2.36
F  0.1064  0.0000  0.4997 [4 per cell]  2 Cu 1.98

---

(13)
Sn4Rh | PBE | optimized geometry

Computed properties:
Formation energy   -73.8 kJ/mol of formula units
Raw total energy   -0.1773 hartree per atom

abc: 13.9173 12.0396 9.6890
angles: 90.00 115.60 90.00
Last column: nearest neighbours and their distance in Å.
Space group C2/c (No. 15)
Unique sites:
Sn  0.0000  0.1693  0.2500 [4 per cell]  2 Rh 2.75
Sn  0.0279  0.1207  0.9346 [8 per cell]  3 Rh 2.68-2.83
Sn  0.0338  0.3617  0.0528 [8 per cell]  1 Rh 2.84, 4 Sn 3.11-3.18
Sn  0.1286  0.4998  0.3605 [8 per cell]  2 Rh 2.85-2.91, 4 Sn 3.09-3.18
Sn  0.2014  0.2541  0.7816 [8 per cell]  1 Rh 2.76, 1 Sn 3.08
Sn  0.2143  0.0034  0.2963 [8 per cell]  2 Rh 2.67-2.68
Sn  0.2500  0.2500  0.5000 [4 per cell]  2 Rh 2.67
Rh  0.0000  0.3072  0.7500 [4 per cell]  8 Sn 2.76-2.85
Rh  0.1478  0.0637  0.5055 [8 per cell]  7 Sn 2.67-2.91

---

(14)
ErBe4Ni4 | PBE | optimized geometry

Computed properties:
Formation energy   -234.3 kJ/mol of formula units
Raw total energy   -0.1838 hartree per atom

abc: 7.2192 7.2192 4.1071
angles: 90.00 90.00 90.00
Last column: nearest neighbours and their distance in Å.
Space group P4_2/n (No. 86, origin choice 2)
Unique sites:
Er  0.2500  0.2500  0.2500 [2 per cell]  4 Ni 2.87, 8 Be 2.89-2.99
Be  0.0497  0.9066  0.1705 [8 per cell]  1 Be 2.07, 4 Ni 2.09-2.19
Ni  0.1253  0.8717  0.6581 [8 per cell]  5 Be 2.09-2.34

---

(15)
InSbBr2 | PBE | optimized geometry

Computed properties:
ΔE_f (raw)   -270 meV/atom
Polymorph energy (0 for the lowest one)   79 meV per atom
Raw total energy   -0.1037 hartree per atom

abc: 4.1794 5.7908 11.4133
angles: 90.00 90.00 90.00
Last column: nearest neighbours and their distance in Å.
Space group Immm (No. 71)
Unique sites:
In  0.0000  0.0000  0.0000 [2 per cell]  4 Br 3.52, 4 Sb 3.57
Sb  0.0000  0.0000  0.5000 [2 per cell]  4 Br 2.90
Br  0.0000  0.5000  0.1761 [4 per cell]  2 Sb 2.90

---

(16)
Nd4Cd5Ag2 | PBE | optimized geometry

Computed properties:
Formation energy   -277.2 kJ/mol of formula units
Raw total energy   -0.1076 hartree per atom

abc: 7.9225 3.6121 10.2719
angles: 90.00 94.44 90.00
Last column: nearest neighbours and their distance in Å.
Space group P2/m (No. 10)
Unique sites:
Nd  0.1673  0.0000  0.3767 [2 per cell]  2 Ag 3.13, 8 Cd 3.36-3.43
Nd  0.2632  0.0000  0.9431 [2 per cell]  4 Ag 3.19-3.20, 6 Cd 3.39-3.42
Cd  0.1953  0.5000  0.6608 [2 per cell]  1 Ag 3.03, 2 Cd 3.03-3.11, 2 Nd 3.39
Cd  0.4404  0.5000  0.2016 [2 per cell]  1 Ag 3.03, 2 Cd 3.06-3.11
Cd  0.5000  0.5000  0.5000 [1 per cell]  4 Cd 3.03-3.06, 4 Nd 3.36
Ag  0.0613  0.5000  0.1354 [2 per cell]  1 Ag 2.88, 2 Cd 3.03, 6 Nd 3.13-3.20

---

(17)
Pu2UPa3Se6 | PBE | optimized geometry

Computed properties:
ΔE_f (raw)   -1273 meV/atom
Raw total energy   -0.3204 hartree per atom

abc: 18.0907 3.9623 8.4161
angles: 90.00 106.97 90.00
Last column: nearest neighbours and their distance in Å.
Space group C2/m (No. 12)
Unique sites:
Pu  0.1665  0.0000  0.3342 [4 per cell]  6 Se 2.87-2.88
U  0.0000  0.5000  0.0000 [2 per cell]  6 Se 2.87-2.88
Pa  0.0000  0.5000  0.5000 [2 per cell]  6 Se 2.90-2.91
Pa  0.1665  0.0000  0.8351 [4 per cell]  6 Se 2.90-2.91
Se  0.0010  0.0000  0.2484 [4 per cell]  1 Pu 2.87, 2 U 2.88, 3 Pa 2.90
Se  0.1659  0.5000  0.0869 [4 per cell]  2 Pu 2.87, 1 U 2.87, 3 Pa 2.90-2.91
Se  0.1676  0.5000  0.5829 [4 per cell]  3 Pu 2.88, 3 Pa 2.91

---

(18)
Zr3ScC | PBE | optimized geometry

Computed properties:
Formation energy   1125.2 kJ/mol of formula units
Polymorph energy (0 for the lowest one)   2590 meV per atom
Raw total energy   -0.2171 hartree per atom

abc: 4.9369 4.9369 4.9369
angles: 90.00 90.00 90.00
Last column: nearest neighbours and their distance in Å.
Space group Pm-3m (No. 221)
Unique sites:
Zr  0.0000  0.0000  0.5000 [3 per cell]  2 Sc 2.47
Sc  0.0000  0.0000  0.0000 [1 per cell]  6 Zr 2.47
C  0.5000  0.5000  0.5000 [1 per cell]  12 Zr 3.49

---

(19)
K2In2RuO6 | PBE | optimized geometry

Computed properties:
ΔE_f (raw)   -1403 meV/atom
Raw total energy   -0.2076 hartree per atom

abc: 5.6908 9.7197 6.5112
angles: 90.00 106.62 90.00
Last column: nearest neighbours and their distance in Å.
Space group C2/m (No. 12)
Unique sites:
K  0.0000  0.1671  0.0000 [4 per cell]  6 O 2.72-2.87
In  0.0000  0.3351  0.5000 [4 per cell]  6 O 2.23-2.25
Ru  0.0000  0.0000  0.5000 [2 per cell]  6 O 2.04-2.05
O  0.2097  0.1552  0.6730 [8 per cell]  1 Ru 2.05, 2 In 2.23-2.25
O  0.2482  0.0000  0.3272 [4 per cell]  1 Ru 2.04, 2 In 2.23

---

(20)
ScSiAg2Se4 | PBE | optimized geometry

Computed properties:
ΔE_f (raw)   -526 meV/atom
Raw total energy   -0.1635 hartree per atom

abc: 8.2703 7.4137 6.8868
angles: 90.00 90.00 90.00
Last column: nearest neighbours and their distance in Å.
Space group Pmn2_1 (No. 31)
Unique sites:
Sc  0.0000  0.1582  0.0000 [2 per cell]  4 Se 2.59-2.63
Si  0.0000  0.8148  0.5218 [2 per cell]  4 Se 2.39-2.40
Ag  0.2324  0.2940  0.5539 [4 per cell]  4 Se 2.62-2.79
Se  0.0000  0.1093  0.3788 [2 per cell]  1 Si 2.40, 1 Sc 2.63, 2 Ag 2.65
Se  0.0000  0.8314  0.8677 [2 per cell]  1 Si 2.39, 1 Sc 2.59
Se  0.2384  0.6512  0.4281 [4 per cell]  1 Si 2.40, 1 Ag 2.62, 1 Sc 2.63